Entry 1:
Material: ReOs6
Method: DFT, GGA-PBE
State: optimized geometry

Cell and atoms, written as POSCAR:
```
ReOs6
1.0
-1.645 1.645 9.661
1.645 -1.645 9.661
1.645 1.645 -9.661
Re Os
1 6
direct
0.500 0.500 0.000
0.928 0.928 0.000
0.356 0.356 0.000
0.787 0.787 0.000
0.213 0.213 0.000
0.644 0.644 0.000
0.072 0.072 0.000
```

* relative energy among the computed polymorphs: 0.567 eV/atom
* energy of formation from the pure elements: 683 meV/atom


Entry 2:
Material: Na3MgI
Method: DFT, GGA-PBE
State: optimized geometry

Cell and atoms, written as POSCAR:
```
Na3MgI
1.0
-0.264 -4.699 3.780
6.008 -0.533 -0.243
0.523 3.751 4.700
I Na Mg
1 3 1
direct
0.500 0.500 0.500
0.000 0.500 0.000
0.000 0.000 0.500
0.500 0.000 0.000
0.000 0.000 0.000
```

* formation energy without anion corrections: 0.2 eV per formula unit
* relative energy among the computed polymorphs: 0.178 eV/atom


Entry 3:
Material: CaBe2As
Method: DFT, GGA-PBE
State: optimized geometry

Cell and atoms, written as POSCAR:
```
CaBe2As
1.0
4.209 0.002 0.023
2.627 3.288 0.023
1.575 0.758 5.086
Be As Ca
2 1 1
direct
0.971 0.971 0.146
0.529 0.529 0.354
0.250 0.250 0.250
0.750 0.750 0.750
```

* energy of formation from the pure elements: 72 meV/atom


Entry 4:
Material: PmSc2Tl3Te6
Method: DFT, GGA-PBE
State: optimized geometry

Cell and atoms, written as POSCAR:
```
PmSc2Tl3Te6
1.0
7.549 0.004 0.000
-3.769 6.541 0.000
-1.261 -2.183 8.144
Pm Sc Tl Te
1 2 3 6
direct
0.000 0.000 0.000
0.332 0.668 0.000
0.668 0.332 0.000
0.160 0.840 0.500
0.840 0.160 0.500
0.500 0.500 0.500
0.930 0.579 0.790
0.716 0.716 0.204
0.070 0.421 0.210
0.579 0.930 0.790
0.284 0.284 0.796
0.421 0.070 0.210
```

* formation energy without anion corrections: -11.6 eV per formula unit


Entry 5:
Material: TaBeIn2
Method: DFT, GGA-PBE
State: optimized geometry

Cell and atoms, written as POSCAR:
```
TaBeIn2
1.0
5.542 -0.011 0.035
4.677 2.973 0.035
1.716 0.497 4.470
Be In Ta
1 2 1
direct
0.237 0.237 0.315
0.974 0.974 0.996
0.757 0.757 0.750
0.532 0.532 0.439
```

* energy of formation from the pure elements: 345 meV/atom


Entry 6:
Material: Na2Sb2PtRh
Method: DFT, GGA-PBE
State: optimized geometry

Cell and atoms, written as POSCAR:
```
Na2Sb2PtRh
1.0
6.264 0.000 0.000
0.000 6.614 0.000
-3.132 -3.307 6.827
Na Sb Pt Rh
4 4 2 2
direct
0.403 0.161 0.321
0.597 0.839 0.679
0.082 0.339 0.679
0.918 0.661 0.321
0.844 0.102 0.205
0.361 0.602 0.205
0.639 0.398 0.795
0.156 0.898 0.795
0.000 0.750 0.000
0.000 0.250 0.000
0.500 0.750 0.000
0.500 0.250 0.000
```

* formation energy without anion corrections: -2.5 eV per formula unit


Entry 7:
Material: ZnIrAu2
Method: DFT, GGA-PBE
State: optimized geometry

Cell and atoms, written as POSCAR:
```
ZnIrAu2
1.0
4.513 0.000 0.000
2.256 3.908 0.000
2.256 1.303 3.685
Au Ir Zn
2 1 1
direct
0.000 0.000 0.000
0.250 0.250 0.250
0.500 0.500 0.500
0.750 0.750 0.750
```

* energy of formation from the pure elements: 149 meV/atom


Entry 8:
Material: Y5Fe
Method: DFT, GGA-PBE
State: optimized geometry

Cell and atoms, written as POSCAR:
```
Y5Fe
1.0
-3.261 1.767 5.047
-2.866 -3.016 -4.682
1.195 -5.108 2.560
Y Fe
5 1
direct
0.000 0.500 0.500
0.333 0.667 0.000
0.500 0.000 0.500
0.500 0.500 0.500
0.667 0.333 0.000
0.000 0.000 0.000
```

* relative energy among the computed polymorphs: 0.809 eV/atom
* energy of formation from the pure elements: 883 meV/atom


Entry 9:
Material: CsCd5As3
Method: DFT, GGA-PBE
State: optimized geometry

Cell and atoms, written as POSCAR:
```
CsCd5As3
1.0
-1.196 4.492 -0.982
-6.578 -4.520 -1.173
-3.587 1.869 12.914
Cs Cd As
2 10 6
direct
0.829 0.658 0.750
0.171 0.342 0.250
0.809 0.618 0.430
0.191 0.382 0.930
0.000 0.000 0.500
0.000 0.000 0.000
0.467 0.934 0.142
0.533 0.066 0.858
0.533 0.066 0.642
0.809 0.618 0.070
0.191 0.382 0.570
0.467 0.934 0.358
0.369 0.738 0.962
0.904 0.808 0.250
0.369 0.738 0.538
0.631 0.262 0.462
0.096 0.192 0.750
0.631 0.262 0.038
```

* energy of formation from the pure elements: -106 meV/atom


Entry 10:
Material: NaZnHg
Method: DFT, GGA-PBE
State: optimized geometry

Cell and atoms, written as POSCAR:
```
NaZnHg
1.0
-1.461 -2.946 1.639
2.518 -2.142 -1.604
2.570 3.215 3.950
Na Zn Hg
1 1 1
direct
0.999 0.999 0.998
0.319 0.319 0.638
0.682 0.682 0.364
```

* relative energy among the computed polymorphs: 0.065 eV/atom
* energy of formation from the pure elements: -50 meV/atom


Entry 11:
Material: KBaTbCl6
Method: DFT, GGA-PBE
State: optimized geometry

Cell and atoms, written as POSCAR:
```
KBaTbCl6
1.0
-5.886 -0.784 4.677
6.511 -3.538 1.493
3.970 10.129 6.694
K Ba Tb Cl
2 2 2 12
direct
0.333 0.667 0.250
0.667 0.333 0.750
0.000 0.000 0.000
0.000 0.000 0.500
0.667 0.333 0.250
0.333 0.667 0.750
0.677 0.629 0.131
0.952 0.323 0.131
0.323 0.952 0.631
0.048 0.677 0.869
0.371 0.323 0.369
0.952 0.629 0.369
0.629 0.952 0.869
0.677 0.048 0.369
0.048 0.371 0.631
0.371 0.048 0.131
0.629 0.677 0.631
0.323 0.371 0.869
```

* formation energy without anion corrections: -20.7 eV per formula unit


Entry 12:
Material: MgCu2HgH
Method: DFT, GGA-PBE
State: optimized geometry

Cell and atoms, written as POSCAR:
```
MgCu2HgH
1.0
-3.940 -0.372 0.257
0.396 -1.756 3.534
-0.230 3.740 1.884
H Mg Hg Cu
1 1 1 2
direct
0.000 0.000 0.000
0.000 0.000 0.500
0.500 0.500 0.500
0.000 0.500 0.000
0.500 0.000 0.000
```


DFT total energy: -10.721; -1.382; -3.454; -4.580; -4.919; -4.468; -4.023; -5.914; -2.259; -1.015; -4.379; -2.616 (eV/atom)